DFT (PBE) results for Pr2Ag3SnSe6 after structural relaxation.

Cell lengths 9.2283, 9.2283, 8.0401 Å; angles 98.00, 98.00, 26.57 degrees
Positions (direct):
Pr: 0.1675 0.1675 0.3200
Pr: 0.8325 0.8325 0.6800
Ag: 0.1796 0.1796 0.8145
Ag: 0.5000 0.5000 0.5000
Ag: 0.8204 0.8204 0.1855
Sn: 0.5000 0.5000 0.0000
Se: 0.0027 0.0027 0.7471
Se: 0.3356 0.3356 0.4193
Se: 0.3362 0.3362 0.9399
Se: 0.6638 0.6638 0.0601
Se: 0.6644 0.6644 0.5807
Se: 0.9973 0.9973 0.2529

Its formation energy without anion corrections is -0.842 eV/atom. As for the space group: C2/m, No. 12.